# GGA-PBE CoIrRu, optimized geometry
data_CoIrRu
_cell_length_a 2.671
_cell_length_b 15.058
_cell_length_c 3.930
_cell_angle_alpha 90.00
_cell_angle_beta 90.00
_cell_angle_gamma 90.00
_space_group_name_H-M_alt 'C m c m'
_space_group_IT_number 63
_space_group_name_Hall '-C 2c 2'
loop_
_atom_site_label
_atom_site_fract_x
_atom_site_fract_y
_atom_site_fract_z
Co1 0.000 0.040 0.250
Ir1 0.000 0.387 0.250
Ru1 0.000 0.208 0.250
# - calculated formation energy (eV per formula unit) = 0.2
# - offset from the most stable computed form (meV per atom) = 36
# - total DFT energy (no corrections) (eV/atom) = -8.35